# SiNiC2 (PBE, relaxed)
data_SiNiC2
_chemical_formula_sum 'Si4 Ni4 C8'
_symmetry_space_group_name_H-M 'I -4 2 d'
_symmetry_Int_Tables_number 122
_symmetry_space_group_name_Hall 'I -4 2bw'
_cell_length_a 4.450
_cell_length_b 4.450
_cell_length_c 8.470
_cell_angle_alpha 90.00
_cell_angle_beta 90.00
_cell_angle_gamma 90.00
loop_
_atom_site_label
_atom_site_type_symbol
_atom_site_fract_x
_atom_site_fract_y
_atom_site_fract_z
_atom_site_occupancy
Si1 Si 0.000 0.000 0.000 1
Ni1 Ni 0.000 0.000 0.500 1
C1 C 0.242 0.250 0.125 1
# - Energy relative to the elements, uncorrected: 0.596 eV/atom